An optimized crystal structure of LaSbPb2. Source: Alexandria via LeMat-Bulk, functional PBE.

Lattice parameters (Å, degrees): 5.607 5.607 5.607 60.00 60.00 60.00
Sites, in units of the cell vectors:
La1 0.500 0.500 0.500
Pb1 0.000 0.000 0.000
Pb2 0.250 0.250 0.250
Sb1 0.750 0.750 0.750

Values from the calculation:
* formation energy (no corrections): -348 meV/atom
* density of states at the Fermi level: 0.765 states/eV/atom
* SG: F-43m (216)
* magnetic moment: 0.00 μB/f.u.



An optimized crystal structure of MgBMoW2. Source: Alexandria via LeMat-Bulk, functional PBE.

Lattice parameters (Å, degrees): 4.279 4.111 4.279 90.00 90.00 90.00
Sites, in units of the cell vectors:
Mo1 0.500 0.500 0.500
B1 0.000 0.000 0.000
Mg1 0.000 0.500 0.000
W1 0.000 0.000 0.500
W2 0.500 0.000 0.000

Values from the calculation:
* density of states at the Fermi level: 0.800 states/eV/atom
* calculated total energy: -8.442 eV/atom
* SG: P4/mmm (123)
* magnetic moment: 0.01 μB/f.u.



An optimized crystal structure of Pm8Y2Cd. Source: Alexandria via LeMat-Bulk, functional PBE.

Lattice parameters (Å, degrees): 5.121 6.260 12.665 77.20 90.00 114.14
Sites, in units of the cell vectors:
Pm1 0.590 0.179 0.360
Pm2 0.752 0.504 0.088
Pm3 0.860 0.720 0.453
Pm4 0.964 0.928 0.824
Pm5 0.140 0.280 0.547
Pm6 0.248 0.496 0.912
Pm7 0.410 0.821 0.640
Pm8 0.036 0.072 0.176
Y1 0.685 0.371 0.739
Y2 0.315 0.629 0.261
Cd1 0.500 0.000 0.000

Values from the calculation:
* density of states at the Fermi level: 1.420 states/eV/atom
* calculated total energy: -4.731 eV/atom
* SG: C2/m (12)
* magnetic moment: 0.00 μB/f.u.



An optimized crystal structure of BeTc2. Source: Alexandria via LeMat-Bulk, functional PBE.

Lattice parameters (Å, degrees): 6.737 6.737 4.284 90.00 90.00 156.35
Sites, in units of the cell vectors:
Be1 0.775 0.225 0.750
Be2 0.225 0.775 0.250
Tc1 0.120 0.880 0.750
Tc2 0.441 0.559 0.750
Tc3 0.559 0.441 0.250
Tc4 0.880 0.120 0.250

Values from the calculation:
* density of states at the Fermi level: 1.101 states/eV/atom
* calculated total energy: -8.020 eV/atom
* SG: Cmcm (63)
* magnetic moment: 0.00 μB/f.u.



An optimized crystal structure of Ti5Al2Os. Source: Alexandria via LeMat-Bulk, functional PBE.

Lattice parameters (Å, degrees): 3.864 3.864 9.023 102.37 102.37 90.00
Site moments in Bohr magnetons follow the coordinates.
Sites, in units of the cell vectors:
Ti1 0.500 0.500 0.000  0.07
Ti2 0.874 0.374 0.747  0.33
Ti3 0.374 0.874 0.747  0.33
Ti4 0.126 0.626 0.253  0.33
Ti5 0.626 0.126 0.253  0.33
Al1 0.749 0.749 0.499  0.00
Al2 0.251 0.251 0.501  0.00
Os1 0.000 0.000 0.000  0.03

Values from the calculation:
* density of states at the Fermi level: 1.245 states/eV/atom
* calculated total energy: -7.532 eV/atom
* SG: I4/mmm (139)
* magnetic moment: 1.72 μB/f.u.



An optimized crystal structure of Ba2SrSe. Source: Alexandria via LeMat-Bulk, functional PBE.

Lattice parameters (Å, degrees): 7.673 7.673 7.498 60.85 60.85 31.91
Sites, in units of the cell vectors:
Ba1 0.994 0.994 0.955
Ba2 0.823 0.823 0.647
Se1 0.509 0.509 0.604
Sr1 0.174 0.174 0.294

Values from the calculation:
* formation energy (no corrections): -837 meV/atom
* density of states at the Fermi level: 0.984 states/eV/atom
* SG: Cm (8)
* magnetic moment: 0.04 μB/f.u.



An optimized crystal structure of LiThMgOs. Source: Alexandria via LeMat-Bulk, functional PBE.

Lattice parameters (Å, degrees): 4.818 4.818 4.818 60.00 60.00 60.00
Sites, in units of the cell vectors:
Mg1 0.250 0.250 0.250
Os1 0.500 0.500 0.500
Th1 0.750 0.750 0.750
Li1 0.000 0.000 0.000

Values from the calculation:
* density of states at the Fermi level: 0.965 states/eV/atom
* calculated total energy: -5.595 eV/atom
* SG: F-43m (216)
* magnetic moment: 0.00 μB/f.u.



An optimized crystal structure of LaAlF3. Source: Alexandria via LeMat-Bulk, functional PBE.

Lattice parameters (Å, degrees): 4.362 4.362 4.362 90.00 90.00 90.00
Site moments in Bohr magnetons follow the coordinates.
Sites, in units of the cell vectors:
F1 0.000 0.500 0.000  0.01
F2 0.000 0.000 0.500  0.01
F3 0.500 0.000 0.000  0.00
Al1 0.000 0.000 0.000  -0.01
La1 0.500 0.500 0.500  0.54

Values from the calculation:
* formation energy (no corrections): -2138 meV/atom
* density of states at the Fermi level: 0.861 states/eV/atom
* SG: Pm-3m (221)
* magnetic moment: 0.97 μB/f.u.